*a*
Material: IrOs2Ru
Method: DFT, SCAN
State: single point on PBEsol structure

Unit cell a=2.692 b=4.664 c=4.670 alpha=99.58 beta=90.00 gamma=106.77
Sites, in units of the cell vectors:
Os 0.251 0.501 0.254
Ru 0.000 0.000 0.500
Ir 0.500 0.000 0.000
Os 0.749 0.499 0.746



*b*
Material: IrOs2Ru
Method: DFT, SCAN
State: single point on PBEsol structure

Unit cell a=2.686 b=4.675 c=4.675 alpha=109.76 beta=90.00 gamma=90.00
Sites, in units of the cell vectors:
Os 0.000 0.000 0.500
Ir 0.500 0.500 0.500
Ru 0.500 0.000 0.000
Os 0.000 0.500 0.000



Which structure is the least stable? The one labeled *b*.



*a*
Material: IrOsRu
Method: DFT, SCAN
State: single point on PBEsol structure

Unit cell a=2.691 b=2.691 c=6.603 alpha=90.00 beta=90.00 gamma=120.00
Sites, in units of the cell vectors:
Os 0.333 0.667 0.661
Ir 0.000 0.000 0.000
Ru 0.667 0.333 0.338



*b*
Material: IrOsRu
Method: DFT, SCAN
State: single point on PBEsol structure

Unit cell a=2.694 b=2.694 c=6.022 alpha=102.92 beta=102.92 gamma=90.00
Sites, in units of the cell vectors:
Os 0.669 0.669 0.338
Ru 0.331 0.331 0.662
Ir 0.000 0.000 0.001



Which structure is the least stable? The one labeled *a*.



*a*
Material: TaIrOs2
Method: DFT, SCAN
State: single point on PBEsol structure

Unit cell a=3.884 b=3.884 c=3.894 alpha=90.00 beta=90.00 gamma=90.00
Sites, in units of the cell vectors:
Ir 0.000 0.000 0.500
Ta 0.500 0.500 0.500
Os 0.000 0.500 0.000
Os 0.500 0.000 0.000



*b*
Material: TaIrOs2
Method: DFT, SCAN
State: single point on PBEsol structure

Unit cell a=3.879 b=3.879 c=4.781 alpha=113.93 beta=113.93 gamma=90.00
Sites, in units of the cell vectors:
Ta 0.500 0.500 0.000
Ir 0.250 0.750 0.500
Os 0.000 0.000 0.000
Os 0.750 0.250 0.500



Which structure is the least stable? The one labeled *b*.



*a*
Material: Te2IrOs
Method: DFT, SCAN
State: single point on PBEsol structure

Unit cell a=4.461 b=4.807 c=4.461 alpha=117.65 beta=90.00 gamma=117.65
Sites, in units of the cell vectors:
Te 0.750 0.500 0.250
Te 0.250 0.500 0.750
Ir 0.500 0.000 0.500
Os 0.000 0.000 0.000



*b*
Material: Te2IrOs
Method: DFT, SCAN
State: single point on PBEsol structure

Unit cell a=3.163 b=3.163 c=8.109 alpha=90.00 beta=90.00 gamma=90.00
Sites, in units of the cell vectors:
Ir 0.000 0.000 0.504
Te 0.000 0.000 0.926
Os 0.500 0.500 0.743
Te 0.500 0.500 0.326



Which structure is the least stable? The one labeled *a*.



*a*
Material: Ir2OsW
Method: DFT, SCAN
State: single point on PBEsol structure

Unit cell a=3.841 b=3.841 c=4.742 alpha=113.89 beta=113.89 gamma=90.00
Sites, in units of the cell vectors:
Os 0.000 0.000 0.000
Ir 0.250 0.750 0.500
W 0.500 0.500 0.000
Ir 0.750 0.250 0.500



*b*
Material: Ir2OsW
Method: DFT, SCAN
State: single point on PBEsol structure

Unit cell a=2.732 b=4.711 c=4.741 alpha=99.74 beta=106.75 gamma=90.00
Sites, in units of the cell vectors:
Os 0.000 0.500 0.000
W 0.500 0.000 0.000
Ir 0.749 0.747 0.499
Ir 0.251 0.253 0.501



Which structure is the least stable? The one labeled *b*.



*a*
Material: ZrIrOs2
Method: DFT, SCAN
State: single point on PBEsol structure

Unit cell a=2.813 b=4.834 c=4.831 alpha=99.64 beta=90.00 gamma=106.92
Sites, in units of the cell vectors:
Ir 0.257 0.513 0.759
Os 0.001 0.002 0.020
Zr 0.501 0.001 0.509
Os 0.742 0.483 0.213



*b*
Material: ZrIrOs2
Method: DFT, SCAN
State: single point on PBEsol structure

Unit cell a=2.815 b=4.773 c=4.784 alpha=108.34 beta=90.00 gamma=90.00
Sites, in units of the cell vectors:
Os 0.000 0.000 0.000
Ir 0.000 0.500 0.500
Os 0.500 0.000 0.500
Zr 0.500 0.500 0.000



*c*
Material: ZrIrOs2
Method: DFT, SCAN
State: single point on PBEsol structure

Unit cell a=2.779 b=4.794 c=5.387 alpha=115.09 beta=102.82 gamma=94.64
Sites, in units of the cell vectors:
Ir 0.500 0.000 0.000
Os 0.500 0.500 0.500
Os 0.000 0.000 0.500
Zr 0.000 0.500 0.000



Which structure is the least stable? The one labeled *c*.